## Mg2MnO (GGA+U)

Data for a relaxed Mg2MnO crystal.

Properties
Total magnetization (μB/f.u.): 5.0
Total DFT energy (no corrections) (eV per atom): -4.688

abc: 6.143 6.143 8.284
angles: 90.00 90.00 90.00
Space group I-42d (No. 122)
Asymmetric unit:
1 Mg 0.108 0.750 0.125 [8 per cell]
2 Mn 0.000 0.000 0.500 [4 per cell]
3 O 0.000 0.000 0.000 [4 per cell]